V5OsRh4: relaxed, GGA-PBE.

abc: 2.760 2.760 18.109
angles: 90.00 90.00 90.00
Space group P4/mmm (No. 123)
Inequivalent atoms, fractional coordinates:
V  0.000  0.000  0.000 x1
V  0.000  0.000  0.200 x2
V  0.000  0.000  0.401 x2
Os  0.500  0.500  0.500 x1
Rh  0.500  0.500  0.100 x2
Rh  0.500  0.500  0.301 x2

Values from the calculation:
DFT formation energy in eV/atom: -0.321
Total energy in eV/cell: -89.4
V in Å³ per cell: 138

Hg2IrPd: relaxed, GGA-PBE.

abc: 4.043 4.043 19.293
angles: 90.00 90.00 90.00
Space group I-42d (No. 122)
Inequivalent atoms, fractional coordinates:
Hg  0.246  0.250  0.125 x8
Ir  0.000  0.000  0.000 x4
Pd  0.000  0.000  0.500 x4

Values from the calculation:
Excess energy over the best structure of this formula in the dataset in meV per atom: 316
DFT formation energy in eV/atom: 0.569
Total energy in eV/cell: -49.5
V in Å³ per cell: 315

Ta7Nb2Re2: relaxed, GGA-PBE.

abc: 3.270 14.008 8.795
angles: 90.00 90.00 90.00
Space group Imm2 (No. 44)
Inequivalent atoms, fractional coordinates:
Ta  0.000  0.000  0.000 x2
Ta  0.000  0.160  0.694 x4
Ta  0.000  0.334  0.454 x4
Ta  0.000  0.336  0.932 x4
Nb  0.000  0.000  0.393 x2
Nb  0.000  0.500  0.198 x2
Re  0.000  0.173  0.192 x4

Values from the calculation:
DFT formation energy in eV/atom: 0.126
Total energy in eV/cell: -253.2
V in Å³ per cell: 403

Ce6GaPt2: relaxed, GGA-PBE.

abc: 10.548 4.802 9.509
angles: 90.00 118.20 90.00
Space group C2/m (No. 12)
Inequivalent atoms, fractional coordinates:
Ce  0.061  0.000  0.199 x4
Ce  0.182  0.500  0.514 x4
Ce  0.198  0.500  0.126 x4
Ga  0.000  0.000  0.500 x2
Pt  0.103  0.500  0.782 x4

Values from the calculation:
Excess energy over the best structure of this formula in the dataset in meV per atom: 30
DFT formation energy in eV/atom: -0.548
Total energy in eV/cell: -111.3
V in Å³ per cell: 424

LaTiS2Cl: relaxed, GGA-PBE.

abc: 4.786 4.786 4.630
angles: 90.00 90.00 90.00
Space group P4/mmm (No. 123)
Inequivalent atoms, fractional coordinates:
La  0.000  0.000  0.000 x1
Ti  0.500  0.500  0.500 x1
S  0.000  0.500  0.500 x2
Cl  0.500  0.500  0.000 x1

Values from the calculation:
Excess energy over the best structure of this formula in the dataset in meV per atom: 0
Total energy in eV/cell: -30.4
V in Å³ per cell: 106

LiTm6Ru5: relaxed, GGA-PBE.

abc: 4.790 14.316 6.745
angles: 90.00 90.00 90.00
Space group Cmmm (No. 65)
Inequivalent atoms, fractional coordinates:
Li  0.000  0.000  0.000 x2
Tm  0.000  0.171  0.254 x8
Tm  0.000  0.500  0.260 x4
Ru  0.000  0.000  0.500 x2
Ru  0.000  0.333  0.500 x4
Ru  0.000  0.338  0.000 x4

Values from the calculation:
DFT formation energy in eV/atom: -0.409
Total energy in eV/cell: -160.1
V in Å³ per cell: 462

> Among the records above, which one has the lowest total energy?

Ta7Nb2Re2

Repeat the fourth record exactly.
Ce6GaPt2: relaxed, GGA-PBE.

abc: 10.548 4.802 9.509
angles: 90.00 118.20 90.00
Space group C2/m (No. 12)
Inequivalent atoms, fractional coordinates:
Ce  0.061  0.000  0.199 x4
Ce  0.182  0.500  0.514 x4
Ce  0.198  0.500  0.126 x4
Ga  0.000  0.000  0.500 x2
Pt  0.103  0.500  0.782 x4

Values from the calculation:
Excess energy over the best structure of this formula in the dataset in meV per atom: 30
DFT formation energy in eV/atom: -0.548
Total energy in eV/cell: -111.3
V in Å³ per cell: 424